The following is a DFT calculation (PBE+U) of a relaxed MnCr3O8 crystal.

Results
M_tot   9.00 μB per formula unit
Electronic total energy   -7.254 eV/atom

abc: 5.8856 10.1013 8.9102
angles: 90.00 90.00 90.00
Closest atoms and distances in Å follow each position.
Space group Cmc2_1 (No. 36)
One atom of each set of equivalent atoms:
Mn 0.0000 0.1603 0.0000 x4  6 O 1.91-2.00
Cr 0.0000 0.3293 0.2623 x4  6 O 1.86-2.06
Cr 0.2489 0.4164 0.7823 x8  6 O 1.85-2.01
O 0.0000 0.0247 0.1493 x4  1 Mn 1.91, 2 Cr 1.99
O 0.0000 0.1757 0.3853 x4  3 Cr 1.90-1.97
O 0.0000 0.3235 0.8724 x4  2 Cr 1.92, 1 Mn 2.00
O 0.0000 0.4968 0.1743 x4  3 Cr 1.86-1.96
O 0.2140 0.2358 0.1386 x8  2 Cr 1.92-2.01, 1 Mn 1.92
O 0.2424 0.0786 0.8790 x8  2 Cr 1.85-2.06, 1 Mn 1.97